# 1
The following is a PBE calculation of a relaxed structure of HgPbSO, from OQMD via LeMat-Bulk.

a = 6.2289 Å, b = 3.8305 Å, c = 15.1625 Å
α = 90.00°, β = 90.00°, γ = 90.00°
Positions (direct):
Hg 0.1759 0.7500 0.0844
Hg 0.6759 0.7500 0.4156
Hg 0.3241 0.2500 0.5844
Hg 0.8241 0.2500 0.9156
O 0.2723 0.2500 0.1690
O 0.7723 0.2500 0.3310
O 0.2277 0.7500 0.6690
O 0.7277 0.7500 0.8310
Pb 0.6405 0.2500 0.1758
Pb 0.1405 0.2500 0.3242
Pb 0.8595 0.7500 0.6758
Pb 0.3595 0.7500 0.8242
S 0.7621 0.7500 0.0500
S 0.2621 0.7500 0.4500
S 0.7379 0.2500 0.5500
S 0.2379 0.2500 0.9500

Electronic total energy = -3.620 eV per atom
Excess energy over the best structure of this formula in the dataset = 169 meV per atom
Theoretical density = 8.4 Mg/m³
Symmetry = Pnma, No. 62

=====

# 2
The following is a PBE calculation of a relaxed structure of AlAgCl6, from OQMD via LeMat-Bulk.

a = 6.5740 Å, b = 6.5740 Å, c = 6.5740 Å
α = 60.00°, β = 60.00°, γ = 60.00°
Positions (direct):
Ag 0.2500 0.2500 0.2500
Al 0.0000 0.0000 0.0000
Cl 0.7544 0.2456 0.2456
Cl 0.2456 0.7544 0.2456
Cl 0.7544 0.7544 0.2456
Cl 0.2456 0.2456 0.7544
Cl 0.7544 0.2456 0.7544
Cl 0.2456 0.7544 0.7544

Electronic total energy = -2.755 eV per atom
Theoretical density = 2.9 Mg/m³
Symmetry = F-43m, No. 216

=====

# 3
The following is a PBE calculation of a relaxed structure of RbErAu, from OQMD via LeMat-Bulk.

a = 5.1484 Å, b = 5.1484 Å, c = 5.1484 Å
α = 60.00°, β = 60.00°, γ = 60.00°
Positions (direct):
Au 0.2500 0.2500 0.2500
Er 0.0000 0.0000 0.0000
Rb 0.7500 0.7500 0.7500

Spin magnetization = 0.00 μB per formula unit
Electronic total energy = -2.492 eV per atom
Theoretical density = 7.7 Mg/m³
Symmetry = F-43m, No. 216

=====

# 4
The following is a PBE calculation of a relaxed structure of Li2AlGaAg4, from OQMD via LeMat-Bulk.

a = 4.4954 Å, b = 4.4954 Å, c = 6.3503 Å
α = 90.00°, β = 90.00°, γ = 90.00°
Positions (direct):
Ag 0.5000 0.0000 0.2429
Ag 0.0000 0.5000 0.2485
Ag 0.5000 0.0000 0.7515
Ag 0.0000 0.5000 0.7571
Al 0.0000 0.0000 0.0000
Ga 0.5000 0.5000 0.5000
Li 0.5000 0.5000 0.0000
Li 0.0000 0.0000 0.5000

Electronic total energy = -2.980 eV per atom
Theoretical density = 7.0 Mg/m³
Symmetry = P-4m2, No. 115

=====

# 5
The following is a PBE calculation of a relaxed structure of Lu4AlGaC2, from OQMD via LeMat-Bulk.

a = 3.4722 Å, b = 3.4722 Å, c = 15.3754 Å
α = 90.00°, β = 90.00°, γ = 120.00°
Each line ends with the local moment (μB).
Positions (direct):
Al 0.3333 0.6667 0.5000  0.02
C 0.0000 0.0000 0.2481  0.00
C 0.0000 0.0000 0.7519  0.00
Ga 0.6667 0.3333 0.0000  0.01
Lu 0.3333 0.6667 0.1619  0.01
Lu 0.6667 0.3333 0.3328  0.05
Lu 0.6667 0.3333 0.6672  0.05
Lu 0.3333 0.6667 0.8381  0.01

Spin magnetization = 0.30 μB per formula unit
Electronic total energy = -5.798 eV per atom
Theoretical density = 8.5 Mg/m³
Symmetry = P-6m2, No. 187

=====

# 6
The following is a PBE calculation of a relaxed structure of CsAgBiAu, from OQMD via LeMat-Bulk.

a = 5.4695 Å, b = 5.4695 Å, c = 5.4695 Å
α = 60.00°, β = 60.00°, γ = 60.00°
Positions (direct):
Ag 0.0000 0.0000 0.0000
Au 0.7500 0.7500 0.7500
Bi 0.5000 0.5000 0.5000
Cs 0.2500 0.2500 0.2500

Electronic total energy = -2.405 eV per atom
Excess energy over the best structure of this formula in the dataset = 148 meV per atom
Theoretical density = 9.3 Mg/m³
Symmetry = F-43m, No. 216